[1]
First-principles (PBE) data for a relaxed structure of Mo3HPt, as listed in Alexandria via LeMat-Bulk.

Cell lengths 4.624, 5.838, 4.858 Å; angles 90.00, 93.41, 90.00 degrees
Fractional coordinates of all 10 atoms:
Mo 0.221 0.000 0.283
Mo 0.273 0.248 0.829
Mo 0.273 0.752 0.829
Mo 0.727 0.248 0.171
Mo 0.727 0.752 0.171
Mo 0.779 0.000 0.717
H 0.500 0.186 0.500
H 0.500 0.814 0.500
Pt 0.226 0.500 0.324
Pt 0.774 0.500 0.676

## Properties
- DOS(E_F) (states/eV per cell) = 5.608
- symmetry = No. 10
- magnetic moment (Bohr magnetons per cell) = 0.00
- crystal system = monoclinic
- E above lowest polymorph (kJ per mole of atoms) = 6.59
- volume (Å³/cell) = 130.93

---

[2]
First-principles (PBE) data for a relaxed structure of MoHPt3, as listed in Alexandria via LeMat-Bulk.

Cell lengths 4.842, 4.842, 4.842 Å; angles 90.00, 90.00, 90.00 degrees
Fractional coordinates of all 5 atoms:
Mo 0.000 0.000 0.000
H 0.500 0.500 0.500
Pt 0.000 0.000 0.500
Pt 0.000 0.500 0.000
Pt 0.500 0.000 0.000

## Properties
- DOS(E_F) (states/eV per cell) = 5.228
- symmetry = No. 221
- magnetic moment (Bohr magnetons per cell) = 0.91
- crystal system = cubic
- E above lowest polymorph (kJ per mole of atoms) = 148.04
- volume (Å³/cell) = 113.49

---

[3]
First-principles (PBE) data for a relaxed structure of Mo3HPt, as listed in Alexandria via LeMat-Bulk.

Cell lengths 7.684, 7.684, 7.196 Å; angles 117.72, 117.72, 21.69 degrees
Fractional coordinates of all 10 atoms:
Mo 0.010 0.010 0.338
Mo 0.209 0.209 0.803
Mo 0.329 0.329 0.577
Mo 0.671 0.671 0.423
Mo 0.791 0.791 0.197
Mo 0.990 0.990 0.662
H 0.383 0.383 0.358
H 0.617 0.617 0.642
Pt 0.115 0.115 0.061
Pt 0.885 0.885 0.939

## Properties
- DOS(E_F) (states/eV per cell) = 8.168
- symmetry = No. 12
- magnetic moment (Bohr magnetons per cell) = 0.00
- crystal system = monoclinic
- E above lowest polymorph (kJ per mole of atoms) = 37.44
- volume (Å³/cell) = 138.35

---

[4]
First-principles (PBE) data for a relaxed structure of Mo3HPt, as listed in Alexandria via LeMat-Bulk.

Cell lengths 3.825, 3.825, 6.235 Å; angles 90.00, 90.00, 90.00 degrees
Fractional coordinates of all 5 atoms:
Mo 0.000 0.000 0.000
Mo 0.000 0.500 0.712
Mo 0.500 0.000 0.712
H 0.500 0.500 0.632
Pt 0.000 0.000 0.405

## Properties
- DOS(E_F) (states/eV per cell) = 4.043
- symmetry = No. 99
- magnetic moment (Bohr magnetons per cell) = 0.00
- crystal system = tetragonal
- E above lowest polymorph (kJ per mole of atoms) = 86.48
- volume (Å³/cell) = 91.20

---

[5]
First-principles (PBE) data for a relaxed structure of Mo3HPt, as listed in Alexandria via LeMat-Bulk.

Cell lengths 5.081, 5.081, 5.081 Å; angles 89.55, 89.55, 89.55 degrees
Fractional coordinates of all 10 atoms:
Mo 0.005 0.750 0.495
Mo 0.250 0.505 0.995
Mo 0.495 0.005 0.750
Mo 0.505 0.995 0.250
Mo 0.750 0.495 0.005
Mo 0.995 0.250 0.505
H 0.250 0.250 0.250
H 0.750 0.750 0.750
Pt 0.000 0.000 0.000
Pt 0.500 0.500 0.500

## Properties
- DOS(E_F) (states/eV per cell) = 7.894
- symmetry = No. 167
- magnetic moment (Bohr magnetons per cell) = 0.00
- crystal system = trigonal
- E above lowest polymorph (kJ per mole of atoms) = 9.06
- volume (Å³/cell) = 131.18

---

[6]
First-principles (PBE) data for a relaxed structure of MoHPt, as listed in Alexandria via LeMat-Bulk.

Cell lengths 2.891, 2.891, 4.647 Å; angles 90.00, 90.00, 120.00 degrees
Fractional coordinates of all 3 atoms:
Mo 0.000 0.000 0.000
H 0.333 0.667 0.202
Pt 0.667 0.333 0.525

## Properties
- DOS(E_F) (states/eV per cell) = 1.563
- symmetry = No. 156
- magnetic moment (Bohr magnetons per cell) = 0.00
- crystal system = trigonal
- E above lowest polymorph (kJ per mole of atoms) = 0.00
- volume (Å³/cell) = 33.63

---

[7]
First-principles (PBE) data for a relaxed structure of Mo3HPt, as listed in Alexandria via LeMat-Bulk.

Cell lengths 8.270, 8.270, 4.244 Å; angles 90.86, 90.86, 72.47 degrees
Fractional coordinates of all 20 atoms:
Mo 0.059 0.242 0.250
Mo 0.100 0.574 0.252
Mo 0.234 0.393 0.757
Mo 0.242 0.059 0.750
Mo 0.393 0.234 0.257
Mo 0.426 0.900 0.248
Mo 0.574 0.100 0.752
Mo 0.607 0.766 0.743
Mo 0.758 0.941 0.250
Mo 0.766 0.607 0.243
Mo 0.900 0.426 0.748
Mo 0.941 0.758 0.750
H 0.341 0.531 0.495
H 0.469 0.659 0.005
H 0.531 0.341 0.995
H 0.659 0.469 0.505
Pt 0.096 0.904 0.250
Pt 0.288 0.712 0.750
Pt 0.712 0.288 0.250
Pt 0.904 0.096 0.750

## Properties
- DOS(E_F) (states/eV per cell) = 13.105
- symmetry = No. 15
- magnetic moment (Bohr magnetons per cell) = 0.00
- crystal system = monoclinic
- E above lowest polymorph (kJ per mole of atoms) = 14.05
- volume (Å³/cell) = 276.72

---

[8]
First-principles (PBE) data for a relaxed structure of Mo3HPt, as listed in Alexandria via LeMat-Bulk.

Cell lengths 4.036, 5.653, 5.653 Å; angles 89.47, 90.00, 90.00 degrees
Fractional coordinates of all 10 atoms:
Mo 0.000 0.000 0.000
Mo 0.000 0.001 0.488
Mo 0.000 0.488 0.001
Mo 0.000 0.490 0.490
Mo 0.500 0.248 0.248
Mo 0.500 0.739 0.739
H 0.000 0.745 0.745
H 0.500 0.993 0.993
Pt 0.500 0.249 0.740
Pt 0.500 0.740 0.249

## Properties
- DOS(E_F) (states/eV per cell) = 6.062
- symmetry = No. 38
- magnetic moment (Bohr magnetons per cell) = 0.00
- crystal system = orthorhombic
- E above lowest polymorph (kJ per mole of atoms) = 1.81
- volume (Å³/cell) = 128.96

---

[9]
First-principles (PBE) data for a relaxed structure of Mo3HPt, as listed in Alexandria via LeMat-Bulk.

Cell lengths 5.493, 5.493, 5.336 Å; angles 90.00, 90.00, 123.05 degrees
Fractional coordinates of all 10 atoms:
Mo 0.000 0.000 0.000
Mo 0.000 0.000 0.500
Mo 0.036 0.461 0.250
Mo 0.461 0.036 0.750
Mo 0.539 0.964 0.250
Mo 0.964 0.539 0.750
H 0.140 0.860 0.250
H 0.860 0.140 0.750
Pt 0.463 0.537 0.750
Pt 0.537 0.463 0.250

## Properties
- DOS(E_F) (states/eV per cell) = 4.191
- symmetry = No. 63
- magnetic moment (Bohr magnetons per cell) = 0.00
- crystal system = orthorhombic
- E above lowest polymorph (kJ per mole of atoms) = 30.47
- volume (Å³/cell) = 134.93

---

[10]
First-principles (PBE) data for a relaxed structure of Mo3HPt, as listed in Alexandria via LeMat-Bulk.

Cell lengths 4.598, 5.705, 5.048 Å; angles 90.00, 90.05, 90.00 degrees
Fractional coordinates of all 10 atoms:
Mo 0.214 0.250 0.179
Mo 0.250 0.002 0.653
Mo 0.250 0.498 0.653
Mo 0.750 0.502 0.347
Mo 0.750 0.998 0.347
Mo 0.786 0.750 0.821
H 0.391 0.750 0.851
H 0.609 0.250 0.149
Pt 0.246 0.750 0.188
Pt 0.754 0.250 0.812

## Properties
- DOS(E_F) (states/eV per cell) = 9.189
- symmetry = No. 11
- magnetic moment (Bohr magnetons per cell) = 0.00
- crystal system = monoclinic
- E above lowest polymorph (kJ per mole of atoms) = 10.13
- volume (Å³/cell) = 132.43

---

[11]
First-principles (PBE) data for a relaxed structure of MoHPt, as listed in Alexandria via LeMat-Bulk.

Cell lengths 2.793, 2.793, 4.297 Å; angles 90.00, 90.00, 90.00 degrees
Fractional coordinates of all 3 atoms:
Mo 0.000 0.000 0.000
H 0.500 0.500 0.101
Pt 0.500 0.500 0.531

## Properties
- DOS(E_F) (states/eV per cell) = 2.035
- symmetry = No. 99
- magnetic moment (Bohr magnetons per cell) = 0.00
- crystal system = tetragonal
- E above lowest polymorph (kJ per mole of atoms) = 0.35
- volume (Å³/cell) = 33.52

---

[12]
First-principles (PBE) data for a relaxed structure of MoH2Pt2, as listed in Alexandria via LeMat-Bulk.

Cell lengths 6.846, 6.846, 2.679 Å; angles 90.00, 90.00, 90.00 degrees
Fractional coordinates of all 10 atoms:
Mo 0.000 0.000 0.000
Mo 0.500 0.500 0.000
H 0.246 0.254 0.500
H 0.254 0.754 0.500
H 0.746 0.246 0.500
H 0.754 0.746 0.500
Pt 0.139 0.639 0.000
Pt 0.361 0.139 0.000
Pt 0.639 0.861 0.000
Pt 0.861 0.361 0.000

## Properties
- DOS(E_F) (states/eV per cell) = 5.892
- symmetry = No. 127
- magnetic moment (Bohr magnetons per cell) = 0.00
- crystal system = tetragonal
- E above lowest polymorph (kJ per mole of atoms) = 39.28
- volume (Å³/cell) = 125.53

---

[13]
First-principles (PBE) data for a relaxed structure of Mo3HPt, as listed in Alexandria via LeMat-Bulk.

Cell lengths 4.093, 5.692, 5.717 Å; angles 90.00, 90.46, 90.00 degrees
Fractional coordinates of all 10 atoms:
Mo 0.008 0.250 0.008
Mo 0.474 0.512 0.763
Mo 0.474 0.988 0.763
Mo 0.526 0.012 0.237
Mo 0.526 0.488 0.237
Mo 0.992 0.750 0.992
H 0.246 0.750 0.265
H 0.754 0.250 0.735
Pt 0.034 0.250 0.490
Pt 0.966 0.750 0.510

## Properties
- DOS(E_F) (states/eV per cell) = 8.330
- symmetry = No. 11
- magnetic moment (Bohr magnetons per cell) = 0.00
- crystal system = monoclinic
- E above lowest polymorph (kJ per mole of atoms) = 18.67
- volume (Å³/cell) = 133.18

---

[14]
First-principles (PBE) data for a relaxed structure of Mo3HPt, as listed in Alexandria via LeMat-Bulk.

Cell lengths 7.397, 7.397, 6.813 Å; angles 95.11, 95.11, 21.12 degrees
Fractional coordinates of all 10 atoms:
Mo 0.010 0.010 0.204
Mo 0.222 0.222 0.323
Mo 0.342 0.342 0.059
Mo 0.658 0.658 0.941
Mo 0.778 0.778 0.677
Mo 0.990 0.990 0.796
H 0.128 0.128 0.117
H 0.872 0.872 0.883
Pt 0.404 0.404 0.463
Pt 0.596 0.596 0.537

## Properties
- DOS(E_F) (states/eV per cell) = 7.473
- symmetry = No. 12
- magnetic moment (Bohr magnetons per cell) = 0.00
- crystal system = monoclinic
- E above lowest polymorph (kJ per mole of atoms) = 18.38
- volume (Å³/cell) = 133.75

---

[15]
First-principles (PBE) data for a relaxed structure of MoHPt, as listed in Alexandria via LeMat-Bulk.

Cell lengths 3.968, 3.968, 4.242 Å; angles 90.00, 90.00, 90.00 degrees
Fractional coordinates of all 6 atoms:
Mo 0.250 0.750 0.000
Mo 0.750 0.250 0.000
H 0.250 0.250 0.070
H 0.750 0.750 0.930
Pt 0.250 0.250 0.513
Pt 0.750 0.750 0.487

## Properties
- DOS(E_F) (states/eV per cell) = 4.854
- symmetry = No. 129
- magnetic moment (Bohr magnetons per cell) = 0.00
- crystal system = tetragonal
- E above lowest polymorph (kJ per mole of atoms) = 1.70
- volume (Å³/cell) = 66.80

---

[16]
First-principles (PBE) data for a relaxed structure of Mo3HPt, as listed in Alexandria via LeMat-Bulk.

Cell lengths 4.040, 5.654, 5.651 Å; angles 90.00, 90.00, 90.00 degrees
Fractional coordinates of all 10 atoms:
Mo 0.000 0.000 0.000
Mo 0.000 0.000 0.500
Mo 0.000 0.500 0.000
Mo 0.000 0.500 0.500
Mo 0.500 0.242 0.250
Mo 0.500 0.758 0.750
H 0.500 0.499 0.999
H 0.500 0.501 0.499
Pt 0.500 0.242 0.750
Pt 0.500 0.758 0.250

## Properties
- DOS(E_F) (states/eV per cell) = 5.904
- symmetry = No. 26
- magnetic moment (Bohr magnetons per cell) = 0.00
- crystal system = orthorhombic
- E above lowest polymorph (kJ per mole of atoms) = 4.93
- volume (Å³/cell) = 129.08

---

[17]
First-principles (PBE) data for a relaxed structure of Mo3HPt, as listed in Alexandria via LeMat-Bulk.

Cell lengths 7.351, 7.351, 4.913 Å; angles 90.17, 90.17, 102.16 degrees
Fractional coordinates of all 20 atoms:
Mo 0.063 0.694 0.930
Mo 0.172 0.556 0.410
Mo 0.301 0.431 0.902
Mo 0.306 0.937 0.570
Mo 0.431 0.301 0.402
Mo 0.444 0.828 0.090
Mo 0.556 0.172 0.910
Mo 0.569 0.699 0.598
Mo 0.694 0.063 0.430
Mo 0.699 0.569 0.098
Mo 0.828 0.444 0.590
Mo 0.937 0.306 0.070
H 0.310 0.690 0.750
H 0.440 0.560 0.250
H 0.560 0.440 0.750
H 0.690 0.310 0.250
Pt 0.066 0.190 0.578
Pt 0.190 0.066 0.078
Pt 0.810 0.934 0.922
Pt 0.934 0.810 0.422

## Properties
- DOS(E_F) (states/eV per cell) = 16.227
- symmetry = No. 15
- magnetic moment (Bohr magnetons per cell) = 0.00
- crystal system = monoclinic
- E above lowest polymorph (kJ per mole of atoms) = 6.84
- volume (Å³/cell) = 259.48

---

[18]
First-principles (PBE) data for a relaxed structure of Mo3HPt, as listed in Alexandria via LeMat-Bulk.

Cell lengths 4.032, 5.681, 5.689 Å; angles 90.00, 90.17, 90.00 degrees
Fractional coordinates of all 10 atoms:
Mo 0.000 0.000 0.000
Mo 0.015 0.500 0.517
Mo 0.511 0.247 0.768
Mo 0.511 0.753 0.768
Mo 0.527 0.258 0.255
Mo 0.527 0.742 0.255
H 0.249 0.000 0.272
H 0.518 0.500 0.515
Pt 0.015 0.500 0.014
Pt 0.994 0.000 0.526

## Properties
- DOS(E_F) (states/eV per cell) = 5.877
- symmetry = No. 6
- magnetic moment (Bohr magnetons per cell) = 0.00
- crystal system = monoclinic
- E above lowest polymorph (kJ per mole of atoms) = 4.09
- volume (Å³/cell) = 130.30

---

[19]
First-principles (PBE) data for a relaxed structure of MoHPt3, as listed in Alexandria via LeMat-Bulk.

Cell lengths 4.052, 4.052, 4.052 Å; angles 90.00, 90.00, 90.00 degrees
Fractional coordinates of all 5 atoms:
Mo 0.000 0.000 0.000
H 0.500 0.500 0.500
Pt 0.000 0.500 0.500
Pt 0.500 0.000 0.500
Pt 0.500 0.500 0.000

## Properties
- DOS(E_F) (states/eV per cell) = 4.593
- symmetry = No. 221
- magnetic moment (Bohr magnetons per cell) = 2.95
- crystal system = cubic
- E above lowest polymorph (kJ per mole of atoms) = 0.00
- volume (Å³/cell) = 66.52

---

[20]
First-principles (PBE) data for a relaxed structure of Mo3HPt, as listed in Alexandria via LeMat-Bulk.

Cell lengths 6.188, 6.188, 6.188 Å; angles 128.87, 128.87, 75.22 degrees
Fractional coordinates of all 10 atoms:
Mo 0.133 0.133 0.000
Mo 0.363 0.125 0.762
Mo 0.363 0.601 0.238
Mo 0.399 0.637 0.762
Mo 0.867 0.867 0.000
Mo 0.875 0.637 0.238
H 0.250 0.750 0.500
H 0.500 0.500 0.000
Pt 0.599 0.099 0.500
Pt 0.901 0.401 0.500

## Properties
- DOS(E_F) (states/eV per cell) = 8.299
- symmetry = No. 119
- magnetic moment (Bohr magnetons per cell) = 0.00
- crystal system = tetragonal
- E above lowest polymorph (kJ per mole of atoms) = 41.51
- volume (Å³/cell) = 139.81